Entry 1:
Computed, not measured: an optimized crystal structure of HgRu at the PBE level of DFT.

POSCAR file:
```
HgRu
1.0
8.142 0.000 0.000
-4.071 7.051 0.000
0.000 0.000 4.046
Hg Ru
6 6
Direct
0.169 0.338 0.250 Hg
0.169 0.831 0.250 Hg
0.338 0.169 0.750 Hg
0.662 0.831 0.250 Hg
0.831 0.169 0.750 Hg
0.831 0.662 0.750 Hg
0.122 0.561 0.750 Ru
0.439 0.561 0.750 Ru
0.439 0.878 0.750 Ru
0.561 0.122 0.250 Ru
0.561 0.439 0.250 Ru
0.878 0.439 0.250 Ru
```

Computed properties:
As for the energy relative to the elements: 0.494 eV per atom.



Entry 2:
Computed, not measured: an optimized crystal structure of NaSi3S at the PBE level of DFT.

POSCAR file:
```
NaSi3S
1.0
4.778 0.000 0.000
0.000 4.778 0.000
0.000 0.000 4.778
Na Si S
1 3 1
Direct
0.000 0.000 0.000 Na
0.000 0.500 0.500 Si
0.500 0.000 0.500 Si
0.500 0.500 0.000 Si
0.500 0.500 0.500 S
```

Computed properties:
The energy relative to the elements, uncorrected comes out at 0.704 eV per atom.



Entry 3:
Computed, not measured: an optimized crystal structure of CdGa3Ag7 at the PBE level of DFT.

POSCAR file:
```
CdGa3Ag7
1.0
4.381 -4.811 0.000
4.381 4.811 0.000
-2.300 0.000 5.105
Cd Ga Ag
1 3 7
Direct
0.000 0.000 0.000 Cd
0.274 0.726 0.500 Ga
0.500 0.500 0.000 Ga
0.726 0.274 0.500 Ga
0.000 0.000 0.500 Ag
0.088 0.554 0.813 Ag
0.313 0.313 0.457 Ag
0.446 0.912 0.187 Ag
0.554 0.088 0.813 Ag
0.687 0.687 0.543 Ag
0.912 0.446 0.187 Ag
```

Computed properties:
As for the energy relative to the elements: 0.093 eV per atom.



Entry 4:
Computed, not measured: an optimized crystal structure of CrGaCo2Au at the PBE level of DFT.

POSCAR file:
```
CrGaCo2Au
1.0
4.152 0.000 0.000
0.000 4.152 0.000
0.000 0.000 4.983
Cr Ga Co Au
1 1 2 1
Direct
0.000 0.000 0.000 Cr
0.500 0.500 0.500 Ga
0.000 0.500 0.000 Co
0.500 0.000 0.000 Co
0.000 0.000 0.500 Au
```

Computed properties:
As for the energy relative to the elements: 1.068 eV per atom.



> Which formula does entry 4 have?

CrGaCo2Au